No. 1
# RbCd3In

RbCd3In after structural relaxation (PBE-GGA, Alexandria).

Cell and atoms, written as POSCAR:
```
RbCd3In
1.0
5.7312 0.0000 0.0000
0.0000 5.7312 0.0000
0.0000 0.0000 5.7312
Rb Cd In
1 3 1
Direct
0.0000 0.0000 0.0000
0.0000 0.5000 0.5000
0.5000 0.0000 0.5000
0.5000 0.5000 0.0000
0.5000 0.5000 0.5000
```

E, eV/atom: -1.215
Spin magnetization, μB/f.u.: 0.00
SG: No. 221

No. 2
# Rb3CdIn4

Rb3CdIn4 after structural relaxation (PBE-GGA, Alexandria).

Cell and atoms, written as POSCAR:
```
Rb3CdIn4
1.0
6.6390 0.0000 0.0000
0.0000 14.9268 0.0000
0.0000 0.0000 6.8464
Rb Cd In
6 2 8
Direct
0.2500 0.0033 0.2032
0.2500 0.4967 0.2032
0.2500 0.7500 0.5257
0.7500 0.2500 0.4743
0.7500 0.5033 0.7968
0.7500 0.9967 0.7968
0.2500 0.2500 0.3208
0.7500 0.7500 0.6792
0.0205 0.7500 0.0294
0.2500 0.1379 0.6922
0.2500 0.3621 0.6922
0.4795 0.7500 0.0294
0.5205 0.2500 0.9706
0.7500 0.6379 0.3078
0.7500 0.8621 0.3078
0.9795 0.2500 0.9706
```

E, eV/atom: -1.911
Spin magnetization, μB/f.u.: 0.00
SG: No. 59

No. 3
# Rb2CdIn

Rb2CdIn after structural relaxation (PBE-GGA, Alexandria).

Cell and atoms, written as POSCAR:
```
Rb2CdIn
1.0
12.4236 0.0000 0.0000
0.0000 6.9220 0.0000
-2.0903 0.0000 4.6853
Rb Cd In
4 2 2
Direct
0.1855 0.0000 0.1857
0.3145 0.5000 0.8143
0.6855 0.5000 0.1857
0.8145 0.0000 0.8143
0.0000 0.6685 0.5000
0.5000 0.1685 0.5000
0.0000 0.4959 0.0000
0.5000 0.9959 0.0000
```

E, eV/atom: -1.407
Spin magnetization, μB/f.u.: 0.00
SG: No. 5

- Which value of E does entry 3 give?
  -1.407 eV/atom

- Which value of E does entry 3 give?
  -1.407 eV/atom